# 1
This record from the Alexandria database describes crystalline Ba3Li7Sb4 at its relaxed geometry. The functional is GGA-PBE.

```
Ba3Li7Sb4
1.0
9.083 -2.479 0.000
9.083 2.479 0.000
-5.599 0.000 8.587
Ba Li Sb
3 7 4
Cartesian
0.000 0.000 0.000 Ba
3.685 0.000 2.576 Ba
8.883 0.000 6.011 Ba
-2.800 0.000 4.293 Li
-1.951 0.000 7.869 Li
2.141 0.000 5.764 Li
5.011 0.000 6.035 Li
7.557 0.000 2.552 Li
10.427 0.000 2.822 Li
14.518 0.000 0.718 Li
-0.087 0.000 3.550 Sb
0.879 0.000 8.488 Sb
11.688 0.000 0.099 Sb
12.655 0.000 5.037 Sb
```

Energy relative to the elements, uncorrected (eV/atom): -0.74
SG: C2/m (12)
Calculated volume (Å³/cell): 386.8



# 2
This record from the Alexandria database describes crystalline TaMnMo at its relaxed geometry. The functional is GGA-PBE.

```
TaMnMo
1.0
3.108 0.000 0.000
0.000 3.108 0.000
0.000 0.000 9.317
Ta Mn Mo
2 2 2
Cartesian
0.000 0.000 0.000 Ta
1.554 1.554 4.658 Ta
0.000 0.000 3.137 Mn
1.554 1.554 7.796 Mn
0.000 0.000 6.327 Mo
1.554 1.554 1.669 Mo
```

SG: I4mm (107)
Distance to the lowest polymorph of the same formula (eV per atom): 0.000
Calculated volume (Å³/cell): 90.0



# 3
This record from the Alexandria database describes crystalline BeGa2Au2 at its relaxed geometry. The functional is GGA-PBE.

```
BeGa2Au2
1.0
6.393 0.000 0.000
0.000 6.393 0.000
0.000 0.000 4.139
Be Ga Au
2 4 4
Cartesian
0.000 0.000 0.000 Be
3.197 3.197 0.000 Be
0.976 2.221 0.000 Ga
2.221 5.417 0.000 Ga
4.173 0.976 0.000 Ga
5.417 4.173 0.000 Ga
1.026 4.223 2.070 Au
2.171 1.026 2.070 Au
4.223 5.367 2.070 Au
5.367 2.171 2.070 Au
```

SG: P4/mbm (127)
Distance to the lowest polymorph of the same formula (eV per atom): 0.153
Calculated volume (Å³/cell): 169.2



# 4
This record from the Alexandria database describes crystalline Bi2BO5 at its relaxed geometry. The functional is GGA-PBE.

```
Bi2BO5
1.0
7.660 0.000 0.000
0.000 7.156 0.000
-3.208 0.000 4.030
Bi B O
4 2 10
Cartesian
0.000 1.776 0.000 Bi
0.000 5.380 0.000 Bi
3.830 1.802 0.000 Bi
3.830 5.354 0.000 Bi
-1.334 0.000 1.958 B
2.496 3.578 1.958 B
-0.592 1.256 2.235 O
-0.592 5.900 2.235 O
2.431 3.578 0.397 O
2.473 0.000 0.546 O
1.162 3.578 2.500 O
3.238 2.322 2.235 O
3.238 4.834 2.235 O
6.261 0.000 0.397 O
6.303 3.578 0.546 O
4.993 0.000 2.500 O
```

Energy relative to the elements, uncorrected (eV/atom): -1.35
SG: Cm (8)
Distance to the lowest polymorph of the same formula (eV per atom): 0.156
Calculated volume (Å³/cell): 220.9